(1)
This record from Alexandria describes an optimized crystal structure of Li2CrBr. The functional is PBEsol.

Cell: 3.382 3.382 6.415 Å, 90.00 90.00 90.00°
Site moments in Bohr magnetons follow the coordinates.
Fractional positions:
1 Br 0.500 0.500 0.000  0.03
2 Cr 0.500 0.500 0.500  4.02
3 Li 0.000 0.000 0.761  0.01
4 Li 0.000 0.000 0.239  0.01

Computed properties:
Density, Mg/m³: 3.30
SG: No. 123
Volume, Å³ per cell: 73.4
Size of the total moment, μB/f.u.: 4.9
Total energy, eV/atom: -4.075
Crystal system: tetragonal
DOS(E_F), states/eV/cell: 0.72

***

(2)
This record from Alexandria describes an optimized crystal structure of CsTeNF2. The functional is PBEsol.

Cell: 4.051 4.805 4.805 Å, 90.00 90.00 90.00°
Fractional positions:
1 Cs 0.500 0.500 0.500
2 N 0.500 0.000 0.000
3 Te 0.000 0.000 0.000
4 F 0.000 0.000 0.500
5 F 0.000 0.500 0.000

Computed properties:
Density, Mg/m³: 5.55
SG: No. 123
Volume, Å³ per cell: 93.5
Size of the total moment, μB/f.u.: 0.0
Total energy, eV/atom: -4.472
Crystal system: tetragonal
DOS(E_F), states/eV/cell: 0.81

***

(3)
This record from Alexandria describes an optimized crystal structure of LiNbNiH2. The functional is PBEsol.

Cell: 3.444 3.444 4.110 Å, 90.00 90.00 90.00°
Fractional positions:
1 Ni 0.000 0.000 0.500
2 Nb 0.500 0.500 0.500
3 H 0.000 0.500 0.000
4 H 0.500 0.000 0.000
5 Li 0.000 0.000 0.000

Computed properties:
Density, Mg/m³: 5.47
SG: No. 123
Volume, Å³ per cell: 48.7
Size of the total moment, μB/f.u.: 0.0
Total energy, eV/atom: -4.584
Crystal system: tetragonal
DOS(E_F), states/eV/cell: 2.00

***

(4)
This record from Alexandria describes an optimized crystal structure of YSiSe2. The functional is PBEsol.

Cell: 3.620 3.620 8.649 Å, 77.92 77.92 60.00°
Fractional positions:
1 Y 0.000 0.000 0.000
2 Si 0.500 0.500 0.500
3 Se 0.890 0.890 0.329
4 Se 0.110 0.110 0.671

Computed properties:
Density, Mg/m³: 4.79
SG: No. 166
Volume, Å³ per cell: 95.2
Size of the total moment, μB/f.u.: 0.0
Total energy, eV/atom: -5.480
Crystal system: trigonal
DOS(E_F), states/eV/cell: 1.24

***

(5)
This record from Alexandria describes an optimized crystal structure of AgSb2. The functional is PBEsol.

Cell: 5.450 5.450 5.480 Å, 90.00 90.00 120.03°
Fractional positions:
1 Sb 0.918 0.584 0.750
2 Sb 0.082 0.416 0.250
3 Sb 0.584 0.918 0.750
4 Sb 0.416 0.082 0.250
5 Ag 0.252 0.252 0.750
6 Ag 0.748 0.748 0.250

Computed properties:
Density, Mg/m³: 8.28
SG: No. 63
Volume, Å³ per cell: 140.9
Size of the total moment, μB/f.u.: 0.0
Total energy, eV/atom: -3.915
Crystal system: orthorhombic
DOS(E_F), states/eV/cell: 3.06

***

(6)
This record from Alexandria describes an optimized crystal structure of Nd5Pb4. The functional is PBEsol.

Cell: 8.291 8.441 15.856 Å, 90.00 90.00 90.00°
Fractional positions:
1 Nd 0.370 0.841 0.620
2 Nd 0.870 0.659 0.880
3 Nd 0.630 0.159 0.120
4 Nd 0.130 0.341 0.380
5 Nd 0.630 0.159 0.380
6 Nd 0.130 0.341 0.120
7 Nd 0.370 0.841 0.880
8 Nd 0.870 0.659 0.620
9 Nd 0.521 0.320 0.599
10 Nd 0.021 0.180 0.901
11 Nd 0.479 0.680 0.099
12 Nd 0.979 0.820 0.401
13 Nd 0.479 0.680 0.401
14 Nd 0.979 0.820 0.099
15 Nd 0.521 0.320 0.901
16 Nd 0.021 0.180 0.599
17 Nd 0.200 0.503 0.750
18 Nd 0.700 0.997 0.750
19 Nd 0.800 0.497 0.250
20 Nd 0.300 0.003 0.250
21 Pb 0.287 0.037 0.458
22 Pb 0.787 0.463 0.042
23 Pb 0.713 0.963 0.958
24 Pb 0.213 0.537 0.542
25 Pb 0.713 0.963 0.542
26 Pb 0.213 0.537 0.958
27 Pb 0.287 0.037 0.042
28 Pb 0.787 0.463 0.458
29 Pb 0.566 0.619 0.750
30 Pb 0.066 0.881 0.750
31 Pb 0.434 0.381 0.250
32 Pb 0.934 0.119 0.250
33 Pb 0.330 0.148 0.750
34 Pb 0.830 0.352 0.750
35 Pb 0.670 0.852 0.250
36 Pb 0.170 0.648 0.250

Computed properties:
Density, Mg/m³: 9.28
SG: No. 62
Volume, Å³ per cell: 1109.7
Size of the total moment, μB/f.u.: 0.0
Total energy, eV/atom: -5.265
Crystal system: orthorhombic
ΔE_f, meV per atom: -618
DOS(E_F), states/eV/cell: 28.93

***

(7)
This record from Alexandria describes an optimized crystal structure of Co2TcNCl. The functional is PBEsol.

Cell: 3.926 3.926 4.065 Å, 90.00 90.00 90.00°
Site moments in Bohr magnetons follow the coordinates.
Fractional positions:
1 N 0.000 0.000 0.500  -0.08
2 Co 0.000 0.500 0.000  0.60
3 Co 0.500 0.000 0.000  0.60
4 Tc 0.500 0.500 0.500  1.73
5 Cl 0.000 0.000 0.000  0.01

Computed properties:
Density, Mg/m³: 7.03
SG: No. 123
Volume, Å³ per cell: 62.6
Size of the total moment, μB/f.u.: 2.9
Total energy, eV/atom: -5.645
Crystal system: tetragonal
DOS(E_F), states/eV/cell: 7.07

***

(8)
This record from Alexandria describes an optimized crystal structure of ReAsSe. The functional is PBEsol.

Cell: 3.138 3.138 6.683 Å, 90.00 90.00 120.00°
Fractional positions:
1 Re 0.333 0.667 0.662
2 As 0.000 0.000 0.933
3 Se 0.667 0.333 0.405

Computed properties:
Density, Mg/m³: 9.91
SG: No. 156
Volume, Å³ per cell: 57.0
Size of the total moment, μB/f.u.: 0.0
Total energy, eV/atom: -7.400
Crystal system: trigonal
DOS(E_F), states/eV/cell: 0.88

***

(9)
This record from Alexandria describes an optimized crystal structure of LaY2Mg. The functional is PBEsol.

Cell: 4.932 4.932 5.991 Å, 114.31 114.31 90.00°
Fractional positions:
1 Y 0.000 0.000 0.000
2 Y 0.750 0.250 0.500
3 Mg 0.250 0.750 0.500
4 La 0.500 0.500 0.000

Computed properties:
Density, Mg/m³: 4.78
SG: No. 119
Volume, Å³ per cell: 118.5
Size of the total moment, μB/f.u.: 0.0
Total energy, eV/atom: -5.161
Crystal system: tetragonal
ΔE_f, meV per atom: 16
DOS(E_F), states/eV/cell: 5.12

***

(10)
This record from Alexandria describes an optimized crystal structure of Mg4AlSi3. The functional is PBEsol.

Cell: 6.567 6.567 13.554 Å, 90.00 90.00 90.00°
Fractional positions:
1 Mg 0.814 0.154 0.098
2 Mg 0.186 0.154 0.598
3 Mg 0.814 0.846 0.598
4 Mg 0.186 0.846 0.098
5 Mg 0.654 0.314 0.598
6 Mg 0.346 0.314 0.098
7 Mg 0.654 0.686 0.098
8 Mg 0.346 0.686 0.598
9 Mg 0.686 0.346 0.902
10 Mg 0.314 0.346 0.402
11 Mg 0.686 0.654 0.402
12 Mg 0.314 0.654 0.902
13 Mg 0.846 0.186 0.402
14 Mg 0.154 0.186 0.902
15 Mg 0.846 0.814 0.902
16 Mg 0.154 0.814 0.402
17 Al 0.000 0.500 0.216
18 Al 0.000 0.500 0.716
19 Al 0.500 0.000 0.784
20 Al 0.500 0.000 0.284
21 Si 0.000 0.500 0.017
22 Si 0.000 0.500 0.517
23 Si 0.500 0.000 0.983
24 Si 0.500 0.000 0.483
25 Si 0.630 0.370 0.250
26 Si 0.370 0.370 0.750
27 Si 0.630 0.630 0.750
28 Si 0.370 0.630 0.250
29 Si 0.870 0.130 0.750
30 Si 0.130 0.130 0.250
31 Si 0.870 0.870 0.250
32 Si 0.130 0.870 0.750

Computed properties:
Density, Mg/m³: 2.37
SG: No. 130
Volume, Å³ per cell: 584.5
Size of the total moment, μB/f.u.: 0.0
Total energy, eV/atom: -3.594
Crystal system: tetragonal
DOS(E_F), states/eV/cell: 10.27

***

(11)
This record from Alexandria describes an optimized crystal structure of Bi2MoIrSe. The functional is PBEsol.

Cell: 4.613 5.320 5.320 Å, 90.00 90.00 90.00°
Fractional positions:
1 Mo 0.000 0.000 0.000
2 Ir 0.500 0.000 0.000
3 Bi 0.000 0.000 0.500
4 Bi 0.000 0.500 0.000
5 Se 0.500 0.500 0.500

Computed properties:
Density, Mg/m³: 9.99
SG: No. 123
Volume, Å³ per cell: 130.6
Size of the total moment, μB/f.u.: 0.0
Total energy, eV/atom: -5.792
Crystal system: tetragonal
DOS(E_F), states/eV/cell: 4.09

***

(12)
This record from Alexandria describes an optimized crystal structure of Li2ScPt. The functional is PBEsol.

Cell: 4.475 4.475 4.475 Å, 60.00 60.00 60.00°
Fractional positions:
1 Sc 0.500 0.500 0.500
2 Pt 0.250 0.250 0.250
3 Li 0.750 0.750 0.750
4 Li 0.000 0.000 0.000

Computed properties:
Density, Mg/m³: 6.65
SG: No. 216
Volume, Å³ per cell: 63.4
Size of the total moment, μB/f.u.: 0.0
Total energy, eV/atom: -4.911
Crystal system: cubic
ΔE_f, meV per atom: -535
DOS(E_F), states/eV/cell: 2.63

***

(13)
This record from Alexandria describes an optimized crystal structure of Y3Pt. The functional is PBEsol.

Cell: 6.419 6.966 9.447 Å, 90.00 90.00 90.00°
Fractional positions:
1 Pt 0.549 0.389 0.750
2 Pt 0.049 0.111 0.250
3 Pt 0.451 0.611 0.250
4 Pt 0.951 0.889 0.750
5 Y 0.371 0.026 0.750
6 Y 0.871 0.474 0.250
7 Y 0.629 0.974 0.250
8 Y 0.129 0.526 0.750
9 Y 0.821 0.180 0.940
10 Y 0.321 0.320 0.060
11 Y 0.179 0.820 0.440
12 Y 0.679 0.680 0.560
13 Y 0.179 0.820 0.060
14 Y 0.679 0.680 0.940
15 Y 0.821 0.180 0.560
16 Y 0.321 0.320 0.440

Computed properties:
Density, Mg/m³: 7.26
SG: No. 62
Volume, Å³ per cell: 422.4
Size of the total moment, μB/f.u.: 0.0
Total energy, eV/atom: -7.550
Crystal system: orthorhombic
ΔE_f, meV per atom: -692
DOS(E_F), states/eV/cell: 17.82

***

(14)
This record from Alexandria describes an optimized crystal structure of Ti2BiN. The functional is PBEsol.

Cell: 4.461 4.461 4.461 Å, 60.00 60.00 60.00°
Fractional positions:
1 N 0.000 0.000 0.000
2 Bi 0.500 0.500 0.500
3 Ti 0.250 0.250 0.250
4 Ti 0.750 0.750 0.750

Computed properties:
Density, Mg/m³: 8.43
SG: No. 225
Volume, Å³ per cell: 62.8
Size of the total moment, μB/f.u.: 0.0
Total energy, eV/atom: -6.913
Crystal system: cubic
DOS(E_F), states/eV/cell: 5.46

***

(15)
This record from Alexandria describes an optimized crystal structure of MnCoSb. The functional is PBEsol.

Cell: 4.048 4.048 4.048 Å, 60.00 60.00 60.00°
Site moments in Bohr magnetons follow the coordinates.
Fractional positions:
1 Sb 0.500 0.500 0.500  -0.08
2 Mn 0.000 0.000 0.000  3.06
3 Co 0.750 0.750 0.750  -0.02

Computed properties:
Density, Mg/m³: 8.34
SG: No. 216
Volume, Å³ per cell: 46.9
Size of the total moment, μB/f.u.: 3.0
Total energy, eV/atom: -7.420
Crystal system: cubic
DOS(E_F), states/eV/cell: 1.63

***

(16)
This record from Alexandria describes an optimized crystal structure of KNa2Sn2. The functional is PBEsol.

Cell: 3.479 9.262 9.262 Å, 90.00 90.00 90.00°
Fractional positions:
1 Na 0.500 0.180 0.680
2 Na 0.500 0.680 0.820
3 Na 0.500 0.820 0.320
4 Na 0.500 0.320 0.180
5 K 0.000 0.000 0.000
6 K 0.000 0.500 0.500
7 Sn 0.000 0.388 0.888
8 Sn 0.000 0.888 0.612
9 Sn 0.000 0.612 0.112
10 Sn 0.000 0.112 0.388

Computed properties:
Density, Mg/m³: 3.59
SG: No. 127
Volume, Å³ per cell: 298.5
Size of the total moment, μB/f.u.: 0.0
Total energy, eV/atom: -2.643
Crystal system: tetragonal
ΔE_f, meV per atom: -153
DOS(E_F), states/eV/cell: 3.42

***

(17)
This record from Alexandria describes an optimized crystal structure of CrCuRh. The functional is PBEsol.

Cell: 3.989 3.989 3.989 Å, 60.00 60.00 60.00°
Site moments in Bohr magnetons follow the coordinates.
Fractional positions:
1 Cr 0.000 0.000 0.000  2.04
2 Cu 0.500 0.500 0.500  0.02
3 Rh 0.250 0.250 0.250  -0.16

Computed properties:
Density, Mg/m³: 8.08
SG: No. 216
Volume, Å³ per cell: 44.9
Size of the total moment, μB/f.u.: 2.1
Total energy, eV/atom: -6.940
Crystal system: cubic
ΔE_f, meV per atom: 631
DOS(E_F), states/eV/cell: 2.21

***

(18)
This record from Alexandria describes an optimized crystal structure of Li2MnTe. The functional is PBEsol.

Cell: 4.019 4.019 4.133 Å, 90.00 90.00 90.00°
Site moments in Bohr magnetons follow the coordinates.
Fractional positions:
1 Li 0.000 0.500 0.000  -0.01
2 Li 0.500 0.000 0.000  -0.01
3 Mn 0.500 0.500 0.500  3.70
4 Te 0.000 0.000 0.500  0.03

Computed properties:
Density, Mg/m³: 4.89
SG: No. 123
Volume, Å³ per cell: 66.8
Size of the total moment, μB/f.u.: 3.9
Total energy, eV/atom: -4.508
Crystal system: tetragonal
DOS(E_F), states/eV/cell: 2.08

***

(19)
This record from Alexandria describes an optimized crystal structure of KTaSb2Te. The functional is PBEsol.

Cell: 5.247 5.247 6.315 Å, 90.00 90.00 90.00°
Site moments in Bohr magnetons follow the coordinates.
Fractional positions:
1 Sb 0.000 0.500 0.000  -0.04
2 Sb 0.500 0.000 0.000  -0.04
3 K 0.000 0.000 0.500  0.04
4 Te 0.500 0.500 0.500  0.19
5 Ta 0.000 0.000 0.000  0.94

Computed properties:
Density, Mg/m³: 5.65
SG: No. 123
Volume, Å³ per cell: 173.8
Size of the total moment, μB/f.u.: 1.7
Total energy, eV/atom: -4.662
Crystal system: tetragonal
DOS(E_F), states/eV/cell: 5.78

***

(20)
This record from Alexandria describes an optimized crystal structure of Pr3Dy. The functional is PBEsol.

Cell: 5.841 7.223 7.223 Å, 120.00 90.00 90.00°
Fractional positions:
1 Pr 0.250 0.666 0.833
2 Pr 0.250 0.167 0.334
3 Pr 0.250 0.167 0.833
4 Pr 0.750 0.334 0.167
5 Pr 0.750 0.833 0.666
6 Pr 0.750 0.833 0.167
7 Dy 0.750 0.333 0.667
8 Dy 0.250 0.667 0.333

Computed properties:
Density, Mg/m³: 7.36
SG: No. 194
Volume, Å³ per cell: 263.9
Size of the total moment, μB/f.u.: 0.0
Total energy, eV/atom: -5.103
Crystal system: hexagonal
ΔE_f, meV per atom: 30
DOS(E_F), states/eV/cell: 12.47